DFT (PBE with a Hubbard U) results for Zr2NiHF after structural relaxation.

## Properties
Total energy   -23.884 eV per formula unit

abc: 4.5205 4.5205 3.8524
angles: 90.00 90.00 90.00
Positions (direct):
Zr (0.0000, 0.5000, 0.0000)
Zr (0.5000, 0.0000, 0.0000)
Ni (0.0000, 0.0000, 0.5000)
H (0.5000, 0.5000, 0.5000)
F (0.0000, 0.0000, 0.0000)